Entry 1:
Material: KYZnTe3
Method: DFT, PBE-GGA
State: relaxed

uncorrected energy	-4.11	eV per atom
total moment	0.0	μB/cell
symmetry	P2_1/m, No. 11

Lattice parameters (Å, degrees): 9.264 4.391 10.915 90.00 108.87 90.00
Fractional positions:
K (0.240, 0.250, 0.277)
K (0.760, 0.750, 0.723)
Y (0.319, 0.750, 0.861)
Y (0.681, 0.250, 0.139)
Zn (0.080, 0.250, 0.609)
Zn (0.920, 0.750, 0.391)
Te (0.080, 0.250, 0.851)
Te (0.222, 0.750, 0.549)
Te (0.454, 0.750, 0.155)
Te (0.546, 0.250, 0.845)
Te (0.778, 0.250, 0.451)
Te (0.920, 0.750, 0.149)

=====

Entry 2:
Material: KYZnTe3
Method: DFT, PBE-GGA
State: relaxed

uncorrected energy	-3.97	eV per atom
total moment	0.0	μB/cell
symmetry	C2/m, No. 12

Lattice parameters (Å, degrees): 10.216 10.216 9.274 101.94 101.94 25.26
Fractional positions:
K (0.137, 0.137, 0.066)
K (0.863, 0.863, 0.934)
Y (0.172, 0.172, 0.573)
Y (0.828, 0.828, 0.427)
Zn (0.468, 0.468, 0.272)
Zn (0.532, 0.532, 0.728)
Te (0.000, 0.000, 0.500)
Te (0.329, 0.329, 0.649)
Te (0.331, 0.331, 0.201)
Te (0.500, 0.500, 0.000)
Te (0.669, 0.669, 0.799)
Te (0.671, 0.671, 0.351)

=====

Entry 3:
Material: KZnTe
Method: DFT, PBE-GGA
State: relaxed

uncorrected energy	-1.84	eV per atom
E above lowest polymorph	0.2643	eV/atom
symmetry	F-43m, No. 216

Lattice parameters (Å, degrees): 5.396 5.396 5.396 60.00 60.00 60.00
Fractional positions:
K (0.000, 0.000, 0.000)
Zn (0.250, 0.250, 0.250)
Te (0.750, 0.750, 0.750)

=====

Entry 4:
Material: KZrZnTe3
Method: DFT, PBE-GGA
State: relaxed

uncorrected energy	-4.14	eV per atom
total moment	1.9	μB/cell
symmetry	Cmcm, No. 63

Lattice parameters (Å, degrees): 8.300 8.300 11.199 90.00 90.00 150.81
Fractional positions:
K (0.244, 0.756, 0.750)
K (0.756, 0.244, 0.250)
Zr (0.000, 0.000, 0.000)
Zr (0.000, 0.000, 0.500)
Zn (0.465, 0.535, 0.250)
Zn (0.535, 0.465, 0.750)
Te (0.071, 0.929, 0.250)
Te (0.373, 0.627, 0.052)
Te (0.373, 0.627, 0.448)
Te (0.627, 0.373, 0.552)
Te (0.627, 0.373, 0.948)
Te (0.929, 0.071, 0.750)